The following is a meta-GGA SCAN calculation of MnS2BrN at its PBEsol-relaxed geometry, from Alexandria via LeMat-Bulk.

Geometry as CIF:
```
data_MnS2BrN
_space_group_name_H-M_alt 'P 4/m m m'
_space_group_IT_number 123
_space_group_name_Hall '-P 4 2'
_cell_length_a 4.897
_cell_length_b 4.897
_cell_length_c 3.660
_cell_angle_alpha 90.00
_cell_angle_beta 90.00
_cell_angle_gamma 90.00
loop_
_atom_site_label
_atom_site_fract_x
_atom_site_fract_y
_atom_site_fract_z
Mn1 0.000 0.000 0.000
S1 0.000 0.500 0.500
Br1 0.500 0.500 0.500
N1 0.500 0.500 0.000
```

Results
ΔE_f (raw)	1.28	eV per atom
spin magnetization	5.10	Bohr magnetons per cell
uncorrected energy	-59.852	eV/cell
D(E_F)	0.302	states/eV per atom